A relaxed Th4Tl3Pb crystal, computed with PBE-GGA.

Its energy is -83.87 eV per cell. The energy relative to the elements comes out at -0.181 eV per atom.

Lattice parameters (Å, degrees): 5.0393 9.2797 10.0769 90.00 90.00 90.00
Positions (direct):
Th1 0.5000 0.7519 0.5000
Th2 0.9999 0.2481 0.7500
Th3 0.5000 0.2481 0.0000
Th4 0.5000 0.7519 0.0000
Th5 0.9999 0.7519 0.7500
Th6 0.0001 0.2481 0.2500
Th7 0.0001 0.7519 0.2500
Th8 0.5000 0.2481 0.5000
Tl1 0.0000 0.0000 0.0000
Tl2 0.5001 0.0000 0.2500
Tl3 0.4999 0.5000 0.7500
Tl4 0.4999 0.0000 0.7500
Tl5 0.5001 0.5000 0.2500
Tl6 0.0000 0.0000 0.5000
Pb1 0.0000 0.5000 0.0000
Pb2 0.0000 0.5000 0.5000